1.
A relaxed structure of Li6LaAg6, computed with PBE-GGA.

Structure (POSCAR):
```
Li6LaAg6
1.0
-2.186 3.835 -3.012
-7.164 -0.024 0.428
-0.822 6.123 3.652
Li La Ag
6 1 6
direct
0.000 0.500 0.000 Li
0.500 0.500 0.000 Li
0.000 0.000 0.500 Li
0.500 0.000 0.500 Li
0.500 0.768 0.232 Li
0.500 0.232 0.768 Li
0.000 0.000 0.000 La
0.350 0.650 0.650 Ag
0.650 0.350 0.350 Ag
0.000 0.347 0.653 Ag
0.000 0.653 0.347 Ag
0.286 0.214 0.214 Ag
0.714 0.786 0.786 Ag
```

Total moment (Bohr magnetons per cell): 0.00
Volume (Å³ per cell): 237.1
Distance to the lowest polymorph of the same formula (eV/f.u.): 0.13



2.
A relaxed structure of Li6LaAg6, computed with PBE-GGA.

Structure (POSCAR):
```
Li6LaAg6
1.0
-4.795 2.692 -1.141
-5.072 -1.038 5.044
-0.439 6.447 3.238
Li La Ag
6 1 6
direct
0.360 0.640 0.640 Li
0.640 0.360 0.360 Li
0.000 0.348 0.652 Li
0.000 0.652 0.348 Li
0.287 0.213 0.213 Li
0.713 0.787 0.787 Li
0.000 0.000 0.000 La
0.000 0.500 0.000 Ag
0.500 0.500 0.000 Ag
0.000 0.000 0.500 Ag
0.500 0.000 0.500 Ag
0.500 0.790 0.210 Ag
0.500 0.210 0.790 Ag
```

Total moment (Bohr magnetons per cell): 0.00
Volume (Å³ per cell): 248.1
Distance to the lowest polymorph of the same formula (eV/f.u.): 0.00



3.
A relaxed structure of Li7La3Ag4, computed with PBE-GGA.

Structure (POSCAR):
```
Li7La3Ag4
1.0
4.391 0.000 1.108
1.638 7.949 2.763
0.061 -0.057 9.017
Li La Ag
7 3 4
direct
0.326 0.840 0.509 Li
0.492 0.210 0.807 Li
0.846 0.382 0.925 Li
0.674 0.160 0.491 Li
0.154 0.618 0.075 Li
0.000 0.000 0.000 Li
0.508 0.790 0.193 Li
0.294 0.193 0.219 La
0.706 0.807 0.781 La
0.000 0.500 0.500 La
0.656 0.457 0.231 Ag
0.344 0.543 0.769 Ag
0.887 0.899 0.327 Ag
0.113 0.101 0.673 Ag
```

Total moment (Bohr magnetons per cell): 0.00
Volume (Å³ per cell): 314.8
Total DFT energy (no corrections) (eV/atom): -2.962



4.
A relaxed structure of Li2LaAg, computed with PBE-GGA.

Structure (POSCAR):
```
Li2LaAg
1.0
5.448 -0.003 0.039
4.367 3.257 0.039
1.303 0.432 5.247
Li Ag La
2 1 1
direct
0.028 0.028 0.934 Li
0.472 0.472 0.566 Li
0.750 0.750 0.750 Ag
0.250 0.250 0.250 La
```

Total moment (Bohr magnetons per cell): 0.00
Volume (Å³ per cell): 93.0
Distance to the lowest polymorph of the same formula (eV/f.u.): 0.21



5.
A relaxed structure of Li5LaAg4, computed with PBE-GGA.

Structure (POSCAR):
```
Li5LaAg4
1.0
-2.152 -1.597 1.903
0.978 -2.859 -1.293
11.760 -1.442 12.086
Li La Ag
5 1 4
direct
0.500 0.500 0.148 Li
0.500 0.500 0.321 Li
0.500 0.500 0.500 Li
0.500 0.500 0.679 Li
0.500 0.500 0.852 Li
0.000 0.000 0.000 La
0.000 0.000 0.231 Ag
0.000 0.000 0.411 Ag
0.000 0.000 0.589 Ag
0.000 0.000 0.769 Ag
```

Total moment (Bohr magnetons per cell): 0.00
Volume (Å³ per cell): 182.8
Total DFT energy (no corrections) (eV/atom): -2.729



6.
A relaxed structure of Li2La3Ag4, computed with PBE-GGA.

Structure (POSCAR):
```
Li2La3Ag4
1.0
-2.077 3.311 -2.898
-5.922 -0.804 -0.757
-4.081 5.664 5.311
Li La Ag
2 3 4
direct
0.340 0.994 0.326 Li
0.660 0.006 0.674 Li
0.356 0.605 0.683 La
0.000 0.000 0.000 La
0.644 0.395 0.317 La
0.278 0.377 0.066 Ag
0.722 0.623 0.934 Ag
0.081 0.239 0.599 Ag
0.919 0.761 0.401 Ag
```

Total moment (Bohr magnetons per cell): 0.00
Volume (Å³ per cell): 221.0
Total DFT energy (no corrections) (eV/atom): -3.548



7.
A relaxed structure of Li3LaAg, computed with PBE-GGA.

Structure (POSCAR):
```
Li3LaAg
1.0
-2.255 0.912 5.124
-5.160 -1.122 -2.071
0.680 -5.485 1.276
Li Ag La
3 1 1
direct
0.000 0.500 0.000 Li
0.000 0.000 0.500 Li
0.500 0.000 0.000 Li
0.500 0.500 0.500 Ag
0.000 0.000 0.000 La
```

Total moment (Bohr magnetons per cell): 2.77
Volume (Å³ per cell): 182.5
Distance to the lowest polymorph of the same formula (eV/f.u.): 5.49



8.
A relaxed structure of Li2La3Ag7, computed with PBE-GGA.

Structure (POSCAR):
```
Li2La3Ag7
1.0
-4.276 -0.290 -4.005
-0.564 -4.784 -3.346
-7.032 -5.282 3.596
Li La Ag
2 3 7
direct
0.668 0.668 0.996 Li
0.332 0.332 0.004 Li
0.000 0.000 0.000 La
0.861 0.861 0.416 La
0.139 0.139 0.584 La
0.500 0.500 0.500 Ag
0.923 0.421 0.236 Ag
0.421 0.923 0.236 Ag
0.421 0.421 0.236 Ag
0.077 0.579 0.764 Ag
0.579 0.579 0.764 Ag
0.579 0.077 0.764 Ag
```

Total moment (Bohr magnetons per cell): 0.00
Volume (Å³ per cell): 264.5
Total DFT energy (no corrections) (eV/atom): -3.410